(1)
A relaxed structure of BaSiRu. Source: Alexandria via LeMat-Bulk, functional PBE.

```
data_BaSiRu
_cell_length_a 6.658
_cell_length_b 6.658
_cell_length_c 6.658
_cell_angle_alpha 90.00
_cell_angle_beta 90.00
_cell_angle_gamma 90.00
_space_group_name_H-M_alt 'F -4 3 m'
_space_group_IT_number 216
_space_group_name_Hall 'F -4 2 3'
loop_
_atom_site_label
_atom_site_type_symbol
_atom_site_fract_x
_atom_site_fract_y
_atom_site_fract_z
_atom_site_occupancy
Ba1 Ba 0.000 0.000 0.000 1
Si1 Si 0.000 0.000 0.500 1
Ru1 Ru 0.250 0.250 0.750 1
```

Calculated values
Its formation energy from raw total energies is 0.49 eV/atom. For the total moment, the calculation gives 0.000 μB per atom.

***

(2)
A relaxed structure of Ba2SiTcRu. Source: Alexandria via LeMat-Bulk, functional PBE.

```
data_Ba2SiTcRu
_cell_length_a 5.889
_cell_length_b 5.889
_cell_length_c 4.586
_cell_angle_alpha 90.00
_cell_angle_beta 90.00
_cell_angle_gamma 90.00
_space_group_name_H-M_alt 'P 4/m m m'
_space_group_IT_number 123
_space_group_name_Hall '-P 4 2'
loop_
_atom_site_label
_atom_site_type_symbol
_atom_site_fract_x
_atom_site_fract_y
_atom_site_fract_z
_atom_site_occupancy
Ba1 Ba 0.000 0.500 0.000 1
Si1 Si 0.000 0.000 0.500 1
Tc1 Tc 0.500 0.500 0.000 1
Ru1 Ru 0.500 0.500 0.500 1
```

Calculated values
Its formation energy from raw total energies is 0.91 eV/atom. For the total moment, the calculation gives 0.069 μB per atom.

***

(3)
A relaxed structure of Ba2VSiRu. Source: Alexandria via LeMat-Bulk, functional PBE.

```
data_Ba2VSiRu
_cell_length_a 6.283
_cell_length_b 6.283
_cell_length_c 4.431
_cell_angle_alpha 90.00
_cell_angle_beta 90.00
_cell_angle_gamma 90.00
_space_group_name_H-M_alt 'P 4/m m m'
_space_group_IT_number 123
_space_group_name_Hall '-P 4 2'
loop_
_atom_site_label
_atom_site_type_symbol
_atom_site_fract_x
_atom_site_fract_y
_atom_site_fract_z
_atom_site_occupancy
Ba1 Ba 0.000 0.500 0.000 1
V1 V 0.000 0.000 0.500 1
Si1 Si 0.500 0.500 0.000 1
Ru1 Ru 0.500 0.500 0.500 1
```

Calculated values
Its formation energy from raw total energies is 0.70 eV/atom. For the total moment, the calculation gives 0.862 μB per atom.

***

(4)
A relaxed structure of BaSi2RuW. Source: Alexandria via LeMat-Bulk, functional PBE.

```
data_BaSi2RuW
_cell_length_a 5.162
_cell_length_b 5.162
_cell_length_c 5.104
_cell_angle_alpha 90.00
_cell_angle_beta 90.00
_cell_angle_gamma 90.00
_space_group_name_H-M_alt 'P 4/m m m'
_space_group_IT_number 123
_space_group_name_Hall '-P 4 2'
loop_
_atom_site_label
_atom_site_type_symbol
_atom_site_fract_x
_atom_site_fract_y
_atom_site_fract_z
_atom_site_occupancy
Ba1 Ba 0.000 0.000 0.000 1
Si1 Si 0.000 0.500 0.000 1
Ru1 Ru 0.500 0.500 0.500 1
W1 W 0.000 0.000 0.500 1
```

Calculated values
Its formation energy from raw total energies is 3.35 eV/atom. For the total moment, the calculation gives 0.000 μB per atom.